# 1
## GeBrO3 (PBE-GGA)

Data for an optimized crystal structure of GeBrO3.

Output
Formation energy (no corrections) ... 0.396 eV/atom

CIF file:
```
data_GeBrO3
_chemical_formula_sum 'Ge1 Br1 O3'
_cell_length_a 4.016
_cell_length_b 4.016
_cell_length_c 4.016
_cell_angle_alpha 90.00
_cell_angle_beta 90.00
_cell_angle_gamma 90.00
_symmetry_space_group_name_H-M 'P 1'
_symmetry_Int_Tables_number 1
_symmetry_space_group_name_Hall 'P 1'
loop_
_atom_site_label
_atom_site_type_symbol
_atom_site_fract_x
_atom_site_fract_y
_atom_site_fract_z
Ge1 Ge 0.000 0.000 0.000
Br1 Br 0.500 0.500 0.500
O1 O 0.000 0.500 0.500
O2 O 0.500 0.000 0.500
O3 O 0.500 0.500 0.000
```

=====

# 2
## Mo3Cl (PBE-GGA)

Data for an optimized crystal structure of Mo3Cl.

Output
Formation energy (no corrections) ... 1.156 eV/atom

CIF file:
```
data_Mo3Cl
_chemical_formula_sum 'Mo3 Cl1'
_cell_length_a 4.012
_cell_length_b 4.012
_cell_length_c 4.012
_cell_angle_alpha 90.00
_cell_angle_beta 90.00
_cell_angle_gamma 90.00
_symmetry_space_group_name_H-M 'P 1'
_symmetry_Int_Tables_number 1
_symmetry_space_group_name_Hall 'P 1'
loop_
_atom_site_label
_atom_site_type_symbol
_atom_site_fract_x
_atom_site_fract_y
_atom_site_fract_z
Mo1 Mo 0.000 0.000 0.500
Mo2 Mo 0.000 0.500 0.000
Mo3 Mo 0.500 0.000 0.000
Cl1 Cl 0.500 0.500 0.500
```

=====

# 3
## Y2Zr2Tl3 (PBE-GGA)

Data for an optimized crystal structure of Y2Zr2Tl3.

CIF file:
```
data_Y2Zr2Tl3
_chemical_formula_sum 'Y2 Zr2 Tl3'
_cell_length_a 12.875
_cell_length_b 12.875
_cell_length_c 3.523
_cell_angle_alpha 97.82
_cell_angle_beta 97.82
_cell_angle_gamma 17.96
_symmetry_space_group_name_H-M 'P 1'
_symmetry_Int_Tables_number 1
_symmetry_space_group_name_Hall 'P 1'
loop_
_atom_site_label
_atom_site_type_symbol
_atom_site_fract_x
_atom_site_fract_y
_atom_site_fract_z
Y1 Y 0.076 0.076 0.076
Y2 Y 0.924 0.924 0.924
Zr1 Zr 0.216 0.216 0.216
Zr2 Zr 0.784 0.784 0.784
Tl1 Tl 0.348 0.348 0.347
Tl2 Tl 0.500 0.500 0.500
Tl3 Tl 0.652 0.652 0.653
```

=====

# 4
## Te2IrBr (PBE-GGA)

Data for an optimized crystal structure of Te2IrBr.

Output
Formation energy (no corrections) ... 0.386 eV/atom

CIF file:
```
data_Te2IrBr
_chemical_formula_sum 'Te2 Ir1 Br1'
_cell_length_a 12.500
_cell_length_b 12.500
_cell_length_c 12.500
_cell_angle_alpha 14.28
_cell_angle_beta 14.28
_cell_angle_gamma 14.28
_symmetry_space_group_name_H-M 'P 1'
_symmetry_Int_Tables_number 1
_symmetry_space_group_name_Hall 'P 1'
loop_
_atom_site_label
_atom_site_type_symbol
_atom_site_fract_x
_atom_site_fract_y
_atom_site_fract_z
Te1 Te 0.069 0.069 0.069
Te2 Te 0.931 0.931 0.931
Ir1 Ir 0.000 0.000 0.000
Br1 Br 0.500 0.500 0.500
```

=====

# 5
## PmHfIn6 (PBE-GGA)

Data for an optimized crystal structure of PmHfIn6.

CIF file:
```
data_PmHfIn6
_chemical_formula_sum 'Pm1 Hf1 In6'
_cell_length_a 4.621
_cell_length_b 4.621
_cell_length_c 9.114
_cell_angle_alpha 90.00
_cell_angle_beta 90.00
_cell_angle_gamma 90.00
_symmetry_space_group_name_H-M 'P 1'
_symmetry_Int_Tables_number 1
_symmetry_space_group_name_Hall 'P 1'
loop_
_atom_site_label
_atom_site_type_symbol
_atom_site_fract_x
_atom_site_fract_y
_atom_site_fract_z
Pm1 Pm 0.000 0.000 0.000
Hf1 Hf 0.000 0.000 0.500
In1 In 0.000 0.500 0.262
In2 In 0.000 0.500 0.738
In3 In 0.500 0.000 0.262
In4 In 0.500 0.000 0.738
In5 In 0.500 0.500 0.000
In6 In 0.500 0.500 0.500
```

=====

# 6
## NpInCuPt (PBE-GGA)

Data for an optimized crystal structure of NpInCuPt.

CIF file:
```
data_NpInCuPt
_chemical_formula_sum 'Np1 In1 Cu1 Pt1'
_cell_length_a 4.804
_cell_length_b 4.804
_cell_length_c 4.804
_cell_angle_alpha 60.00
_cell_angle_beta 60.00
_cell_angle_gamma 60.00
_symmetry_space_group_name_H-M 'P 1'
_symmetry_Int_Tables_number 1
_symmetry_space_group_name_Hall 'P 1'
loop_
_atom_site_label
_atom_site_type_symbol
_atom_site_fract_x
_atom_site_fract_y
_atom_site_fract_z
Np1 Np 0.000 0.000 0.000
In1 In 0.500 0.500 0.500
Cu1 Cu 0.250 0.250 0.250
Pt1 Pt 0.750 0.750 0.750
```

=====

# 7
## AlSiSe (PBE-GGA)

Data for an optimized crystal structure of AlSiSe.

Output
Formation energy (no corrections) ... -0.338 eV/atom

CIF file:
```
data_AlSiSe
_chemical_formula_sum 'Al2 Si2 Se2'
_cell_length_a 6.285
_cell_length_b 6.285
_cell_length_c 6.740
_cell_angle_alpha 91.04
_cell_angle_beta 91.04
_cell_angle_gamma 35.38
_symmetry_space_group_name_H-M 'P 1'
_symmetry_Int_Tables_number 1
_symmetry_space_group_name_Hall 'P 1'
loop_
_atom_site_label
_atom_site_type_symbol
_atom_site_fract_x
_atom_site_fract_y
_atom_site_fract_z
Al1 Al 0.000 0.000 0.000
Al2 Al 0.705 0.705 0.706
Si1 Si 0.509 0.509 0.553
Si2 Si 0.912 0.912 0.666
Se1 Se 0.199 0.199 0.944
Se2 Se 0.449 0.449 0.210
```

=====

# 8
## LaAl2Zn4Au (PBE-GGA)

Data for an optimized crystal structure of LaAl2Zn4Au.

CIF file:
```
data_LaAl2Zn4Au
_chemical_formula_sum 'La1 Al2 Zn4 Au1'
_cell_length_a 9.443
_cell_length_b 9.443
_cell_length_c 9.443
_cell_angle_alpha 26.90
_cell_angle_beta 26.90
_cell_angle_gamma 26.90
_symmetry_space_group_name_H-M 'P 1'
_symmetry_Int_Tables_number 1
_symmetry_space_group_name_Hall 'P 1'
loop_
_atom_site_label
_atom_site_type_symbol
_atom_site_fract_x
_atom_site_fract_y
_atom_site_fract_z
La1 La 0.000 0.000 0.000
Al1 Al 0.249 0.249 0.249
Al2 Al 0.751 0.751 0.751
Zn1 Zn 0.127 0.127 0.127
Zn2 Zn 0.402 0.402 0.402
Zn3 Zn 0.598 0.598 0.598
Zn4 Zn 0.873 0.873 0.873
Au1 Au 0.500 0.500 0.500
```

=====

# 9
## CeZr2ReC4 (PBE-GGA)

Data for an optimized crystal structure of CeZr2ReC4.

CIF file:
```
data_CeZr2ReC4
_chemical_formula_sum 'Ce2 Zr4 Re2 C8'
_cell_length_a 6.133
_cell_length_b 6.133
_cell_length_c 11.641
_cell_angle_alpha 90.00
_cell_angle_beta 90.00
_cell_angle_gamma 148.28
_symmetry_space_group_name_H-M 'P 1'
_symmetry_Int_Tables_number 1
_symmetry_space_group_name_Hall 'P 1'
loop_
_atom_site_label
_atom_site_type_symbol
_atom_site_fract_x
_atom_site_fract_y
_atom_site_fract_z
Ce1 Ce 0.097 0.903 0.750
Ce2 Ce 0.903 0.097 0.250
Zr1 Zr 0.371 0.629 0.539
Zr2 Zr 0.371 0.629 0.961
Zr3 Zr 0.629 0.371 0.039
Zr4 Zr 0.629 0.371 0.461
Re1 Re 0.164 0.836 0.250
Re2 Re 0.836 0.164 0.750
C1 C 0.000 0.000 0.000
C2 C 0.000 0.000 0.500
C3 C 0.263 0.737 0.119
C4 C 0.263 0.737 0.381
C5 C 0.434 0.566 0.750
C6 C 0.566 0.434 0.250
C7 C 0.737 0.263 0.619
C8 C 0.737 0.263 0.881
```

=====

# 10
## LiAcNdAg (PBE-GGA)

Data for an optimized crystal structure of LiAcNdAg.

CIF file:
```
data_LiAcNdAg
_chemical_formula_sum 'Li1 Ac1 Nd1 Ag1'
_cell_length_a 5.500
_cell_length_b 5.500
_cell_length_c 5.500
_cell_angle_alpha 60.00
_cell_angle_beta 60.00
_cell_angle_gamma 60.00
_symmetry_space_group_name_H-M 'P 1'
_symmetry_Int_Tables_number 1
_symmetry_space_group_name_Hall 'P 1'
loop_
_atom_site_label
_atom_site_type_symbol
_atom_site_fract_x
_atom_site_fract_y
_atom_site_fract_z
Li1 Li 0.000 0.000 0.000
Ac1 Ac 0.250 0.250 0.250
Nd1 Nd 0.750 0.750 0.750
Ag1 Ag 0.500 0.500 0.500
```

=====

# 11
## Ac6Pr3Nd (PBE-GGA)

Data for an optimized crystal structure of Ac6Pr3Nd.

CIF file:
```
data_Ac6Pr3Nd
_chemical_formula_sum 'Ac6 Pr3 Nd1'
_cell_length_a 7.090
_cell_length_b 7.090
_cell_length_c 9.978
_cell_angle_alpha 107.31
_cell_angle_beta 107.31
_cell_angle_gamma 63.06
_symmetry_space_group_name_H-M 'P 1'
_symmetry_Int_Tables_number 1
_symmetry_space_group_name_Hall 'P 1'
loop_
_atom_site_label
_atom_site_type_symbol
_atom_site_fract_x
_atom_site_fract_y
_atom_site_fract_z
Ac1 Ac 0.055 0.556 0.201
Ac2 Ac 0.128 0.128 0.416
Ac3 Ac 0.444 0.945 0.799
Ac4 Ac 0.556 0.055 0.201
Ac5 Ac 0.872 0.872 0.584
Ac6 Ac 0.945 0.444 0.799
Pr1 Pr 0.445 0.445 0.831
Pr2 Pr 0.500 0.500 0.500
Pr3 Pr 0.555 0.555 0.169
Nd1 Nd 0.000 0.000 0.000
```

=====

# 12
## Hf2PI (PBE-GGA)

Data for an optimized crystal structure of Hf2PI.

Output
Formation energy (no corrections) ... -0.302 eV/atom

CIF file:
```
data_Hf2PI
_chemical_formula_sum 'Hf2 P1 I1'
_cell_length_a 4.802
_cell_length_b 4.802
_cell_length_c 4.802
_cell_angle_alpha 60.00
_cell_angle_beta 60.00
_cell_angle_gamma 60.00
_symmetry_space_group_name_H-M 'P 1'
_symmetry_Int_Tables_number 1
_symmetry_space_group_name_Hall 'P 1'
loop_
_atom_site_label
_atom_site_type_symbol
_atom_site_fract_x
_atom_site_fract_y
_atom_site_fract_z
Hf1 Hf 0.250 0.250 0.250
Hf2 Hf 0.750 0.750 0.750
P1 P 0.000 0.000 0.000
I1 I 0.500 0.500 0.500
```

=====

Number 1: E -3.84 eV per atom, V 12.96 Å³/atom, magnetization 0.0 μB per cell. Number 2: E -7.43 eV per atom, V 16.14 Å³/atom, magnetization 0.0 μB per cell. Number 3: E -5.54 eV per atom, V 25.48 Å³/atom, magnetization 0.0 μB per cell. Number 4: E -3.82 eV per atom, V 25.86 Å³/atom, magnetization 0.0 μB per cell. Number 5: E -4.15 eV per atom, V 24.33 Å³/atom, magnetization 0.0 μB per cell. Number 6: E -6.64 eV per atom, V 19.60 Å³/atom, magnetization 3.9 μB per cell. Number 7: E -4.55 eV per atom, V 25.69 Å³/atom, magnetization 0.0 μB per cell. Number 8: E -2.83 eV per atom, V 19.00 Å³/atom, magnetization 0.0 μB per cell. Number 9: E -9.38 eV per atom, V 14.39 Å³/atom, magnetization 0.0 μB per cell. Number 10: E -3.46 eV per atom, V 29.42 Å³/atom, magnetization 0.0 μB per cell. Number 11: E -4.18 eV per atom, V 41.90 Å³/atom, magnetization 0.0 μB per cell. Number 12: E -7.02 eV per atom, V 19.57 Å³/atom, magnetization 0.0 μB per cell.